[1]
Entry from Alexandria via LeMat-Bulk: a relaxed structure of HgPb2Se (PBE-GGA).

```
HgPb2Se
1.0
6.9255 0.1103 -0.0313
4.0764 5.5998 0.0313
-5.3785 -3.0911 3.0811
Hg Se Pb
1 1 2
Cartesian
2.4767 2.8777 1.5562 Hg
5.7714 2.9954 0.0000 Se
3.0792 -0.2937 1.5249 Pb
10.7992 5.6049 0.0000 Pb
```

Excess energy over the best structure of this formula in the dataset: 38.1 meV/atom

[2]
Entry from Alexandria via LeMat-Bulk: a relaxed structure of HgPb2Se (PBE-GGA).

```
HgPb2Se
1.0
5.6675 -0.0292 0.0000
1.2595 5.5258 0.0000
-3.4635 -2.7483 3.5457
Hg Se Pb
1 1 2
Cartesian
2.8337 -0.0146 1.7729 Hg
0.6298 2.7629 1.7729 Se
3.4635 2.7483 0.0000 Pb
0.0000 0.0000 0.0000 Pb
```

Excess energy over the best structure of this formula in the dataset: 103.1 meV/atom

[3]
Entry from Alexandria via LeMat-Bulk: a relaxed structure of HgPb2Se (PBE-GGA).

```
HgPb2Se
1.0
0.0000 3.8112 3.8112
3.8112 0.0000 3.8112
3.8112 3.8112 0.0000
Se Pb Hg
1 2 1
Cartesian
0.0000 0.0000 0.0000 Se
5.7167 5.7167 5.7167 Pb
1.9056 1.9056 1.9056 Pb
3.8112 3.8112 3.8112 Hg
```

Excess energy over the best structure of this formula in the dataset: 131.7 meV/atom

[4]
Entry from Alexandria via LeMat-Bulk: a relaxed structure of HgPb5Se6 (PBE-GGA).

```
HgPb5Se6
1.0
7.4722 0.1959 1.1426
1.8558 6.3069 3.6807
0.1421 0.0780 7.5063
Pb Se Hg
5 6 1
Cartesian
4.1408 1.2037 6.1843 Pb
1.3316 4.2550 7.4611 Pb
0.6664 2.1300 3.7260 Pb
4.6640 3.2514 2.4117 Pb
5.3293 5.3772 6.1454 Pb
6.5169 2.7205 7.4395 Se
5.8712 0.6717 3.5641 Se
2.3330 1.5736 1.1777 Se
3.5989 5.9092 8.7656 Se
6.9950 4.9293 3.6457 Se
2.9532 3.8604 4.8902 Se
0.0000 0.0000 0.0000 Hg
```

Total energy: -3.778 eV/atom

[5]
Entry from Alexandria via LeMat-Bulk: a relaxed structure of Hg3PbSe (PBE-GGA).

```
Hg3PbSe
1.0
5.7364 0.0000 0.0000
0.0000 5.7364 0.0000
0.0000 0.0000 5.7364
Hg Pb Se
3 1 1
Cartesian
0.0000 0.0000 2.8682 Hg
0.0000 2.8682 0.0000 Hg
2.8682 0.0000 0.0000 Hg
0.0000 0.0000 0.0000 Pb
2.8682 2.8682 2.8682 Se
```

Excess energy over the best structure of this formula in the dataset: 74.5 meV/atom

[6]
Entry from Alexandria via LeMat-Bulk: a relaxed structure of HgPbSe (PBE-GGA).

```
HgPbSe
1.0
5.1503 0.0000 0.0000
2.5752 4.4603 0.0000
2.5752 1.4868 4.2052
Hg Pb Se
1 1 1
Cartesian
5.1503 2.9735 2.1026 Hg
7.7255 4.4603 3.1539 Pb
0.0000 0.0000 0.0000 Se
```

Excess energy over the best structure of this formula in the dataset: 168.7 meV/atom

[7]
Entry from Alexandria via LeMat-Bulk: a relaxed structure of Hg3PbSe (PBE-GGA).

```
Hg3PbSe
1.0
5.4668 0.0000 0.0000
0.0000 5.4668 0.0000
0.0000 0.0000 5.4668
Se Hg Pb
1 3 1
Cartesian
0.0000 0.0000 0.0000 Se
0.0000 2.7334 0.0000 Hg
0.0000 0.0000 2.7334 Hg
2.7334 0.0000 0.0000 Hg
2.7334 2.7334 2.7334 Pb
```

Excess energy over the best structure of this formula in the dataset: 0.0 meV/atom

[8]
Entry from Alexandria via LeMat-Bulk: a relaxed structure of HgPb2Se2 (PBE-GGA).

```
HgPb2Se2
1.0
5.2627 0.0000 0.0000
0.0000 5.2627 0.0000
2.6314 2.6314 6.3082
Pb Se Hg
2 2 1
Cartesian
2.6314 2.6314 1.8425 Pb
5.2627 5.2627 4.4657 Pb
2.6314 5.2627 3.1541 Se
5.2627 2.6314 3.1541 Se
0.0000 0.0000 0.0000 Hg
```

Excess energy over the best structure of this formula in the dataset: 16.2 meV/atom

In order of appearance, density = 9748; 10365; 10408; 8159; 7811; 8367; 9025; 7346 kg/m³.